# 1
Computed, not measured: an optimized crystal structure of Ta3CuTe5 at the GGA-PBE level of DFT.

Raw total energy, eV/atom: -6.015

Structure (CIF):
```
data_Ta3CuTe5
_cell_length_a 5.8953
_cell_length_b 5.8953
_cell_length_c 8.3045
_cell_angle_alpha 90.00
_cell_angle_beta 90.00
_cell_angle_gamma 120.00
_space_group_name_H-M_alt 'P 6/m m m'
_space_group_IT_number 191
_space_group_name_Hall '-P 6 2'
loop_
_atom_site_label
_atom_site_fract_x
_atom_site_fract_y
_atom_site_fract_z
Ta1 0.0000 0.5000 0.0000
Cu1 0.0000 0.0000 0.5000
Te1 0.0000 0.0000 0.0000
Te2 0.3333 0.6667 0.2746
```



# 2
Computed, not measured: an optimized crystal structure of Hf2Ir2O5 at the GGA-PBE level of DFT.

Energy relative to the lowest polymorph listed for this composition, meV per atom: 0

Structure (CIF):
```
data_Hf2Ir2O5
_cell_length_a 3.625
_cell_length_b 3.625
_cell_length_c 8.455
_cell_angle_alpha 90.00
_cell_angle_beta 90.00
_cell_angle_gamma 90.00
_space_group_name_H-M_alt 'P 4/m m m'
_space_group_IT_number 123
_space_group_name_Hall '-P 4 2'
loop_
_atom_site_label
_atom_site_fract_x
_atom_site_fract_y
_atom_site_fract_z
Hf1 0.000 0.000 0.232
Ir1 0.500 0.500 0.000
Ir2 0.500 0.500 0.500
O1 0.000 0.000 0.000
O2 0.000 0.500 0.356
```



# 3
Computed, not measured: an optimized crystal structure of BeCoAu at the GGA-PBE level of DFT.

Energy relative to the lowest polymorph listed for this composition, meV per atom: 0

Structure (CIF):
```
data_BeCoAu
_cell_length_a 5.361
_cell_length_b 5.361
_cell_length_c 5.361
_cell_angle_alpha 90.00
_cell_angle_beta 90.00
_cell_angle_gamma 90.00
_space_group_name_H-M_alt 'F -4 3 m'
_space_group_IT_number 216
_space_group_name_Hall 'F -4 2 3'
loop_
_atom_site_label
_atom_site_fract_x
_atom_site_fract_y
_atom_site_fract_z
Be1 0.000 0.000 0.000
Co1 0.250 0.250 0.250
Au1 0.250 0.250 0.750
```



# 4
Computed, not measured: an optimized crystal structure of KCuS2 at the GGA-PBE level of DFT.

Raw total energy, eV/atom: -3.774

Structure (CIF):
```
data_KCuS2
_cell_length_a 7.664
_cell_length_b 9.082
_cell_length_c 5.278
_cell_angle_alpha 90.00
_cell_angle_beta 110.27
_cell_angle_gamma 90.00
_space_group_name_H-M_alt 'C 1 2/c 1'
_space_group_IT_number 15
loop_
_space_group_symop_operation_xyz
'x,y,z'
'-x,-y,-z'
'-x,y,-z+1/2'
'x,-y,z+1/2'
'x+1/2,y+1/2,z'
'-x+1/2,-y+1/2,-z'
'-x+1/2,y+1/2,-z+1/2'
'x+1/2,-y+1/2,z+1/2'
loop_
_atom_site_label
_atom_site_fract_x
_atom_site_fract_y
_atom_site_fract_z
K1 0.000 0.134 0.250
Cu1 0.000 0.457 0.750
S1 0.231 0.359 0.085
```



# 5
Computed, not measured: an optimized crystal structure of DyTmTl at the GGA-PBE level of DFT.

Energy relative to the lowest polymorph listed for this composition, meV per atom: 0

Structure (CIF):
```
data_DyTmTl
_cell_length_a 7.245
_cell_length_b 7.245
_cell_length_c 7.245
_cell_angle_alpha 90.00
_cell_angle_beta 90.00
_cell_angle_gamma 90.00
_space_group_name_H-M_alt 'F -4 3 m'
_space_group_IT_number 216
_space_group_name_Hall 'F -4 2 3'
loop_
_atom_site_label
_atom_site_fract_x
_atom_site_fract_y
_atom_site_fract_z
Dy1 0.000 0.000 0.000
Tm1 0.000 0.000 0.500
Tl1 0.250 0.250 0.250
```



# 6
Computed, not measured: an optimized crystal structure of RbSrEr at the GGA-PBE level of DFT.

Energy relative to the lowest polymorph listed for this composition, meV per atom: 0

Structure (CIF):
```
data_RbSrEr
_cell_length_a 9.124
_cell_length_b 9.124
_cell_length_c 9.124
_cell_angle_alpha 90.00
_cell_angle_beta 90.00
_cell_angle_gamma 90.00
_space_group_name_H-M_alt 'F -4 3 m'
_space_group_IT_number 216
_space_group_name_Hall 'F -4 2 3'
loop_
_atom_site_label
_atom_site_fract_x
_atom_site_fract_y
_atom_site_fract_z
Rb1 0.000 0.000 0.000
Sr1 0.000 0.000 0.500
Er1 0.250 0.250 0.250
```



# 7
Computed, not measured: an optimized crystal structure of TbB4Au at the GGA-PBE level of DFT.

Energy relative to the lowest polymorph listed for this composition, meV per atom: 136

Structure (CIF):
```
data_TbB4Au
_cell_length_a 3.2458
_cell_length_b 3.2458
_cell_length_c 7.2648
_cell_angle_alpha 90.00
_cell_angle_beta 90.00
_cell_angle_gamma 120.00
_space_group_name_H-M_alt 'P 6/m m m'
_space_group_IT_number 191
_space_group_name_Hall '-P 6 2'
loop_
_atom_site_label
_atom_site_fract_x
_atom_site_fract_y
_atom_site_fract_z
Tb1 0.0000 0.0000 0.0000
B1 0.3333 0.6667 0.2561
Au1 0.0000 0.0000 0.5000
```



# 8
Computed, not measured: an optimized crystal structure of CsKPdSe2 at the GGA-PBE level of DFT.

Raw total energy, eV/atom: -3.700

Structure (CIF):
```
data_CsKPdSe2
_cell_length_a 3.875
_cell_length_b 7.701
_cell_length_c 10.332
_cell_angle_alpha 90.00
_cell_angle_beta 90.00
_cell_angle_gamma 90.00
_space_group_name_H-M_alt 'I m m 2'
_space_group_IT_number 44
loop_
_space_group_symop_operation_xyz
'x,y,z'
'-x,-y,z'
'-x,y,z'
'x,-y,z'
'x+1/2,y+1/2,z+1/2'
'-x+1/2,-y+1/2,z+1/2'
'-x+1/2,y+1/2,z+1/2'
'x+1/2,-y+1/2,z+1/2'
loop_
_atom_site_label
_atom_site_fract_x
_atom_site_fract_y
_atom_site_fract_z
Cs1 0.000 0.000 0.000
K1 0.000 0.000 0.391
Pd1 0.000 0.500 0.192
Se1 0.000 0.211 0.692
```